VASP calculation (PBE) on Cs2AlTlZn after structural relaxation.

Cell: 7.5439 5.1548 7.5439 Å, 90.00 90.00 90.00°
With the nearest neighbours (Å) after each atom.
Fractional positions:
1 Cs 0.0000 0.0000 0.5000  2 Tl 3.77
2 Cs 0.5000 0.0000 0.0000  2 Tl 3.77
3 Tl 0.0000 0.0000 0.0000  2 Al 2.58
4 Zn 0.5000 0.5000 0.5000  8 Cs 4.57
5 Al 0.0000 0.5000 0.0000  2 Tl 2.58

Output
E, eV/atom: -1.4838
ΔH_f (0 K), eV per atom: 0.3342
Symmetry: P4/mmm

---

VASP calculation (PBE) on CsAlV2W after structural relaxation.

Cell: 5.1118 5.0245 5.1118 Å, 90.00 90.00 90.00°
With the nearest neighbours (Å) after each atom.
Fractional positions:
1 Cs 0.5000 0.5000 0.5000  8 V 3.58, 4 W 3.61
2 Al 0.0000 0.0000 0.0000  2 W 2.51, 4 V 2.56
3 W 0.0000 0.5000 0.0000  2 Al 2.51
4 V 0.0000 0.0000 0.5000  2 Al 2.56
5 V 0.5000 0.0000 0.0000  2 Al 2.56

Output
E, eV/atom: -5.3871
ΔH_f (0 K), eV per atom: 1.7702
Symmetry: P4/mmm

---

VASP calculation (PBE) on CsAl3W after structural relaxation.

Cell: 5.3016 5.3016 5.3016 Å, 90.00 90.00 90.00°
With the nearest neighbours (Å) after each atom.
Fractional positions:
1 Cs 0.0000 0.0000 0.0000  6 Al 2.65
2 Al 0.0000 0.5000 0.0000  2 Cs 2.65
3 Al 0.0000 0.0000 0.5000  2 Cs 2.65
4 Al 0.5000 0.0000 0.0000  2 Cs 2.65
5 W 0.5000 0.5000 0.5000  12 Al 3.75

Output
E, eV/atom: -2.0047
ΔH_f (0 K), eV per atom: 3.0022
ΔE to the lowest computed polymorph, meV/atom: 2517.7
Symmetry: Pm-3m

---

VASP calculation (PBE) on CsAlW2 after structural relaxation.

Cell: 4.4888 4.4888 10.0894 Å, 77.15 77.15 90.00°
With the nearest neighbours (Å) after each atom.
Fractional positions:
1 Cs 0.0000 0.0000 0.0000  4 W 3.08, 4 Al 3.17
2 Cs 0.7500 0.2500 0.5000  4 W 3.08, 4 Al 3.17
3 Al 0.5000 0.5000 0.0000  4 W 2.72
4 Al 0.2500 0.7500 0.5000  4 W 2.72
5 W 0.5215 0.1250 0.2500  2 W 2.60, 2 Al 2.72
6 W 0.2285 0.6250 0.2500  2 W 2.60, 2 Al 2.72
7 W 0.3750 0.4785 0.7500  2 W 2.60, 2 Al 2.72
8 W 0.8750 0.7715 0.7500  2 W 2.60, 2 Al 2.72

Output
E, eV/atom: -5.7953
ΔH_f (0 K), eV per atom: 1.8303
Symmetry: I-42d

---

VASP calculation (PBE) on CsAl3W after structural relaxation.

Cell: 5.1408 5.1408 5.1408 Å, 90.00 90.00 90.00°
With the nearest neighbours (Å) after each atom.
Fractional positions:
1 Cs 0.5000 0.5000 0.5000  12 Al 3.64
2 Al 0.0000 0.5000 0.0000  2 W 2.57
3 Al 0.0000 0.0000 0.5000  2 W 2.57
4 Al 0.5000 0.0000 0.0000  2 W 2.57
5 W 0.0000 0.0000 0.0000  6 Al 2.57

Output
E, eV/atom: -4.5224
ΔH_f (0 K), eV per atom: 0.4845
ΔE to the lowest computed polymorph, meV/atom: 0.0
Symmetry: Pm-3m

---

VASP calculation (PBE) on CsZr2AlW after structural relaxation.

Cell: 5.1754 4.9638 5.1754 Å, 90.00 90.00 90.00°
With the nearest neighbours (Å) after each atom.
Fractional positions:
1 Cs 0.0000 0.0000 0.0000  2 W 2.48, 4 Zr 2.59
2 Zr 0.0000 0.0000 0.5000  2 Cs 2.59
3 Zr 0.5000 0.0000 0.0000  2 Cs 2.59
4 W 0.0000 0.5000 0.0000  2 Cs 2.48
5 Al 0.5000 0.5000 0.5000  8 Zr 3.59, 4 W 3.66

Output
E, eV/atom: -4.4242
ΔH_f (0 K), eV per atom: 2.5049
Symmetry: P4/mmm

---

VASP calculation (PBE) on CsY3Al after structural relaxation.

Cell: 5.7937 5.7937 5.7937 Å, 90.00 90.00 90.00°
With the nearest neighbours (Å) after each atom.
Fractional positions:
1 Cs 0.5000 0.5000 0.5000  12 Y 4.10
2 Y 0.0000 0.5000 0.0000  2 Al 2.90
3 Y 0.0000 0.0000 0.5000  2 Al 2.90
4 Y 0.5000 0.0000 0.0000  2 Al 2.90
5 Al 0.0000 0.0000 0.0000  6 Y 2.90

Output
E, eV/atom: -4.3608
ΔH_f (0 K), eV per atom: 0.4368
ΔE to the lowest computed polymorph, meV/atom: 0.0
Symmetry: Pm-3m

---

VASP calculation (PBE) on CsY2Al after structural relaxation.

Cell: 6.6778 6.6778 10.7620 Å, 71.93 71.93 90.00°
With the nearest neighbours (Å) after each atom.
Fractional positions:
1 Cs 0.0000 0.0000 0.0000  8 Y 4.44-4.45, 4 Al 4.72
2 Cs 0.7500 0.2500 0.5000  8 Y 4.44-4.45, 4 Al 4.72
3 Y 0.3760 0.1250 0.2500  2 Al 2.94
4 Y 0.3740 0.6250 0.2500  2 Al 2.94
5 Y 0.3750 0.6240 0.7500  2 Al 2.94
6 Y 0.8750 0.6260 0.7500  2 Al 2.94
7 Al 0.5000 0.5000 0.0000  4 Y 2.94
8 Al 0.2500 0.7500 0.5000  4 Y 2.94

Output
E, eV/atom: -3.6166
ΔH_f (0 K), eV per atom: 0.7644
Symmetry: I-42d

---

VASP calculation (PBE) on Cs2YAl after structural relaxation.

Cell: 6.4012 6.4012 6.4012 Å, 60.00 60.00 60.00°
With the nearest neighbours (Å) after each atom.
Fractional positions:
1 Cs 0.2500 0.2500 0.2500  4 Y 3.92, 4 Al 3.92
2 Cs 0.7500 0.7500 0.7500  4 Y 3.92, 4 Al 3.92
3 Y 0.5000 0.5000 0.5000  8 Cs 3.92
4 Al 0.0000 0.0000 0.0000  8 Cs 3.92

Output
E, eV/atom: -2.0728
ΔH_f (0 K), eV per atom: 0.9056
ΔE to the lowest computed polymorph, meV/atom: 295.8
Symmetry: Fm-3m

---

VASP calculation (PBE) on CsY3Al after structural relaxation.

Cell: 5.5762 5.5762 5.5762 Å, 90.00 90.00 90.00°
With the nearest neighbours (Å) after each atom.
Fractional positions:
1 Cs 0.0000 0.0000 0.0000  6 Y 2.79
2 Y 0.0000 0.5000 0.0000  2 Cs 2.79
3 Y 0.0000 0.0000 0.5000  2 Cs 2.79
4 Y 0.5000 0.0000 0.0000  2 Cs 2.79
5 Al 0.5000 0.5000 0.5000  12 Y 3.94

Output
E, eV/atom: -3.4252
ΔH_f (0 K), eV per atom: 1.3725
ΔE to the lowest computed polymorph, meV/atom: 935.6
Symmetry: Pm-3m

---

VASP calculation (PBE) on Cs2YAl after structural relaxation.

Cell: 14.2370 14.2370 10.4693 Å, 47.16 47.16 90.00°
With the nearest neighbours (Å) after each atom.
Fractional positions:
1 Cs 0.4709 0.1250 0.2500  2 Al 3.88
2 Cs 0.2791 0.6250 0.2500  2 Al 3.88
3 Cs 0.3750 0.5291 0.7500  2 Al 3.88
4 Cs 0.8750 0.7209 0.7500  2 Al 3.88
5 Y 0.0000 0.0000 0.0000  2 Al 2.87
6 Y 0.7500 0.2500 0.5000  2 Al 2.87
7 Al 0.5000 0.5000 0.0000  2 Y 2.87
8 Al 0.2500 0.7500 0.5000  2 Y 2.87

Output
E, eV/atom: -2.3687
ΔH_f (0 K), eV per atom: 0.6098
ΔE to the lowest computed polymorph, meV/atom: 0.0
Symmetry: I-42d

---

VASP calculation (PBE) on CsAl2Zn2 after structural relaxation.

Cell: 8.8613 8.8613 3.1118 Å, 90.00 90.00 90.00°
With the nearest neighbours (Å) after each atom.
Fractional positions:
1 Cs 0.0000 0.0000 0.0000  2 Cs 3.11, 4 Zn 3.44
2 Cs 0.5000 0.5000 0.0000  2 Cs 3.11, 4 Zn 3.44
3 Zn 0.3629 0.8629 0.0000  4 Al 2.83, 2 Zn 3.11
4 Zn 0.8629 0.6371 0.0000  4 Al 2.83, 2 Zn 3.11
5 Zn 0.6371 0.1371 0.0000  4 Al 2.83, 2 Zn 3.11
6 Zn 0.1371 0.3629 0.0000  4 Al 2.83, 2 Zn 3.11
7 Al 0.1292 0.6292 0.5000  4 Zn 2.83, 2 Al 3.11
8 Al 0.6292 0.8708 0.5000  4 Zn 2.83, 2 Al 3.11
9 Al 0.8708 0.3708 0.5000  4 Zn 2.83, 2 Al 3.11
10 Al 0.3708 0.1292 0.5000  4 Zn 2.83, 2 Al 3.11

Output
E, eV/atom: -1.8517
ΔH_f (0 K), eV per atom: 0.3256
ΔE to the lowest computed polymorph, meV/atom: 191.3
Symmetry: P4/mbm

---

VASP calculation (PBE) on Cs2AlZn after structural relaxation.

Cell: 6.5282 6.5282 6.5282 Å, 60.00 60.00 60.00°
With the nearest neighbours (Å) after each atom.
Fractional positions:
1 Cs 0.2500 0.2500 0.2500  4 Zn 4.00, 4 Al 4.00
2 Cs 0.7500 0.7500 0.7500  4 Al 4.00, 4 Zn 4.00
3 Zn 0.5000 0.5000 0.5000  8 Cs 4.00
4 Al 0.0000 0.0000 0.0000  8 Cs 4.00

Output
E, eV/atom: -1.2141
ΔH_f (0 K), eV per atom: 0.4668
ΔE to the lowest computed polymorph, meV/atom: 0.0
Symmetry: Fm-3m

---

VASP calculation (PBE) on CsAl2Zn2 after structural relaxation.

Cell: 4.3980 4.3980 7.8318 Å, 73.69 73.69 90.00°
With the nearest neighbours (Å) after each atom.
Fractional positions:
1 Cs 0.0000 0.0000 0.0000  8 Zn 3.82, 8 Al 4.21
2 Zn 0.3459 0.3459 0.3083  4 Al 2.60
3 Zn 0.6541 0.6541 0.6917  4 Al 2.60
4 Al 0.7500 0.2500 0.5000  4 Zn 2.60
5 Al 0.2500 0.7500 0.5000  4 Zn 2.60

Output
E, eV/atom: -2.0429
ΔH_f (0 K), eV per atom: 0.1344
ΔE to the lowest computed polymorph, meV/atom: 0.0
Symmetry: I4/mmm

---

VASP calculation (PBE) on CsAlZn2 after structural relaxation.

Cell: 6.1669 6.1669 8.9318 Å, 69.80 69.80 90.00°
With the nearest neighbours (Å) after each atom.
Fractional positions:
1 Cs 0.0000 0.0000 0.0000  8 Zn 3.96, 4 Al 4.36
2 Cs 0.7500 0.2500 0.5000  8 Zn 3.96, 4 Al 4.36
3 Zn 0.3751 0.1250 0.2500  2 Al 2.48
4 Zn 0.3749 0.6250 0.2500  2 Al 2.48
5 Zn 0.3750 0.6249 0.7500  2 Al 2.48
6 Zn 0.8750 0.6251 0.7500  2 Al 2.48
7 Al 0.5000 0.5000 0.0000  4 Zn 2.48
8 Al 0.2500 0.7500 0.5000  4 Zn 2.48

Output
E, eV/atom: -1.5949
ΔH_f (0 K), eV per atom: 0.1911
Symmetry: I4_1/amd

---

VASP calculation (PBE) on CsAlZn2 after structural relaxation.

Cell: 4.4805 4.4805 7.3052 Å, 72.14 72.14 60.00°
With the nearest neighbours (Å) after each atom.
Fractional positions:
1 Cs 0.5000 0.5000 0.5000  8 Zn 3.76-4.01
2 Zn 0.3165 0.3165 0.0506  3 Al 2.61, 3 Zn 2.68
3 Zn 0.6835 0.6835 0.9494  3 Al 2.61, 3 Zn 2.68
4 Al 0.0000 0.0000 0.0000  6 Zn 2.61

Output
E, eV/atom: -1.7550
ΔH_f (0 K), eV per atom: 0.0310
Symmetry: R-3m

---

VASP calculation (PBE) on CsAlZn2 after structural relaxation.

Cell: 4.4214 7.3471 7.4064 Å, 90.00 90.00 90.00°
With the nearest neighbours (Å) after each atom.
Fractional positions:
1 Cs 0.5000 0.9164 0.0000  4 Zn 3.70-4.12, 2 Al 4.06
2 Cs 0.0000 0.0836 0.5000  4 Zn 3.70-4.12, 2 Al 4.06
3 Al 0.5000 0.6204 0.5000  6 Zn 2.63-2.69
4 Al 0.0000 0.3796 0.0000  6 Zn 2.63-2.69
5 Zn 0.0000 0.5536 0.6808  3 Zn 2.56-2.68, 3 Al 2.63-2.69
6 Zn 0.5000 0.4464 0.8192  3 Zn 2.56-2.68, 3 Al 2.63-2.69
7 Zn 0.0000 0.5536 0.3192  3 Zn 2.56-2.68, 3 Al 2.63-2.69
8 Zn 0.5000 0.4464 0.1808  3 Zn 2.56-2.68, 3 Al 2.63-2.69

Output
E, eV/atom: -1.7624
ΔH_f (0 K), eV per atom: 0.0236
Symmetry: Pmmn

---

VASP calculation (PBE) on Cs3AlZn after structural relaxation.

Cell: 7.3859 7.3859 7.3859 Å, 90.00 90.00 90.00°
With the nearest neighbours (Å) after each atom.
Fractional positions:
1 Cs 0.0000 0.5000 0.0000  2 Al 3.69
2 Cs 0.0000 0.0000 0.5000  2 Al 3.69
3 Cs 0.5000 0.0000 0.0000  2 Al 3.69
4 Zn 0.5000 0.5000 0.5000  12 Cs 5.22
5 Al 0.0000 0.0000 0.0000  6 Cs 3.69

Output
E, eV/atom: -1.0645
ΔH_f (0 K), eV per atom: 0.4509
ΔE to the lowest computed polymorph, meV/atom: 0.0
Symmetry: Pm-3m

---

VASP calculation (PBE) on CsAl2Zn2 after structural relaxation.

Cell: 4.7838 4.7838 6.5356 Å, 68.53 68.53 90.00°
With the nearest neighbours (Å) after each atom.
Fractional positions:
1 Cs 0.0000 0.0000 0.0000  8 Zn 3.68, 10 Al 3.71-4.08
2 Zn 0.7500 0.2500 0.5000  4 Al 2.71
3 Zn 0.2500 0.7500 0.5000  4 Al 2.71
4 Al 0.3646 0.3646 0.2708  4 Zn 2.71, 1 Al 3.03
5 Al 0.6354 0.6354 0.7292  4 Zn 2.71, 1 Al 3.03

Output
E, eV/atom: -1.9532
ΔH_f (0 K), eV per atom: 0.2242
ΔE to the lowest computed polymorph, meV/atom: 89.8
Symmetry: I4/mmm

---

VASP calculation (PBE) on Cs2AlZn after structural relaxation.

Cell: 10.3267 10.3267 8.1811 Å, 50.87 50.87 90.00°
With the nearest neighbours (Å) after each atom.
Fractional positions:
1 Cs 0.6521 0.1250 0.2500  2 Zn 3.58, 2 Cs 3.73, 2 Al 3.96
2 Cs 0.0979 0.6250 0.2500  2 Zn 3.58, 2 Cs 3.73, 2 Al 3.96
3 Cs 0.3750 0.3479 0.7500  2 Zn 3.58, 2 Cs 3.73, 2 Al 3.96
4 Cs 0.8750 0.9021 0.7500  2 Zn 3.58, 2 Cs 3.73, 2 Al 3.96
5 Zn 0.0000 0.0000 0.0000  4 Cs 3.58, 2 Al 3.69
6 Zn 0.7500 0.2500 0.5000  4 Cs 3.58, 2 Al 3.69
7 Al 0.5000 0.5000 0.0000  2 Zn 3.69, 4 Cs 3.96
8 Al 0.2500 0.7500 0.5000  2 Zn 3.69, 4 Cs 3.96

Output
E, eV/atom: -1.1274
ΔH_f (0 K), eV per atom: 0.5535
ΔE to the lowest computed polymorph, meV/atom: 86.7
Symmetry: I-42d

---

VASP calculation (PBE) on CsZrAl2 after structural relaxation.

Cell: 5.3005 5.3005 5.3005 Å, 60.00 60.00 60.00°
With the nearest neighbours (Å) after each atom.
Fractional positions:
1 Cs 0.5000 0.5000 0.5000  8 Al 3.25
2 Al 0.2500 0.2500 0.2500  4 Zr 3.25, 4 Cs 3.25
3 Al 0.7500 0.7500 0.7500  4 Cs 3.25, 4 Zr 3.25
4 Zr 0.0000 0.0000 0.0000  8 Al 3.25

Output
E, eV/atom: -3.4100
ΔH_f (0 K), eV per atom: 0.8117
Symmetry: Fm-3m

---

VASP calculation (PBE) on CsZrAl after structural relaxation.

Cell: 4.8367 5.8386 22.5144 Å, 74.97 102.68 89.98°
With the nearest neighbours (Å) after each atom.
Fractional positions:
1 Cs 0.2390 0.8734 0.5494  4 Cs 4.84-5.42
2 Cs 0.5564 0.5563 0.3662  4 Cs 4.84-5.42
3 Cs 0.9070 0.1875 0.7379  2 Al 3.89, 2 Zr 4.10-4.11
4 Cs 0.8597 0.2435 0.1803  4 Al 3.82-4.11
5 Al 0.6736 0.1741 0.9995  5 Al 2.88-2.97, 5 Zr 2.96-3.06
6 Al 0.5532 0.0450 0.8817  2 Al 2.88, 6 Zr 2.92-2.93
7 Al 0.6740 0.6805 0.9995  5 Al 2.88-2.96, 5 Zr 2.96-3.06
8 Al 0.2161 0.3863 0.0404  4 Zr 2.92-2.96, 4 Al 2.96-2.97
9 Zr 0.5442 0.5538 0.8730  4 Al 2.92-3.06, 4 Zr 2.99
10 Zr 0.0912 0.2567 0.9191  5 Zr 2.91-3.08, 5 Al 2.93-2.96
11 Zr 0.2230 0.8793 0.0475  6 Al 2.92-2.99, 2 Zr 3.08
12 Zr 0.0916 0.7586 0.9191  5 Zr 2.91-3.08, 5 Al 2.93-2.96

Output
E, eV/atom: -4.2805
ΔH_f (0 K), eV per atom: 0.1009
ΔE to the lowest computed polymorph, meV/atom: 0.0
Symmetry: P1

---

VASP calculation (PBE) on CsZrAl after structural relaxation.

Cell: 5.5007 8.0825 8.0492 Å, 39.87 70.39 69.74°
With the nearest neighbours (Å) after each atom.
Fractional positions:
1 Cs 0.2500 0.2500 0.2500  4 Cs 3.85-3.92, 4 Zr 4.08, 4 Al 4.09
2 Cs 0.7500 0.7500 0.7500  4 Cs 3.85-3.92, 4 Zr 4.08, 4 Al 4.09
3 Al 0.6679 0.3321 0.6679  1 Al 2.59, 2 Zr 2.87
4 Al 0.3321 0.6679 0.3321  1 Al 2.59, 2 Zr 2.87
5 Zr 0.8337 0.8337 0.1663  1 Zr 2.61, 4 Al 2.87-2.92
6 Zr 0.1663 0.1663 0.8337  1 Zr 2.61, 4 Al 2.87-2.92

Output
E, eV/atom: -3.9770
ΔH_f (0 K), eV per atom: 0.4044
ΔE to the lowest computed polymorph, meV/atom: 303.5
Symmetry: Fmmm

---

VASP calculation (PBE) on CsZrAl after structural relaxation.

Cell: 14.2578 5.5702 5.2902 Å, 90.00 90.00 90.00°
With the nearest neighbours (Å) after each atom.
Fractional positions:
1 Cs 0.7501 0.2500 0.7537  2 Zr 3.80-3.81, 4 Cs 3.84, 4 Al 4.04-4.06
2 Cs 0.7499 0.7500 0.2537  2 Zr 3.80-3.81, 4 Cs 3.84, 4 Al 4.04-4.06
3 Cs 0.2499 0.7500 0.2463  2 Zr 3.80-3.81, 4 Cs 3.84, 4 Al 4.04-4.06
4 Cs 0.2501 0.2500 0.7463  2 Zr 3.80-3.81, 4 Cs 3.84, 4 Al 4.04-4.06
5 Al 0.0000 0.0000 0.0000  2 Al 2.79, 4 Zr 2.98-3.00
6 Al 0.5000 0.5000 0.5000  2 Al 2.79, 4 Zr 2.98-3.00
7 Al 0.5000 0.0000 0.5000  2 Al 2.79, 4 Zr 2.98-3.00
8 Al 0.0000 0.5000 0.0000  2 Al 2.79, 4 Zr 2.98-3.00
9 Zr 0.4998 0.2500 0.0021  2 Zr 2.79, 4 Al 2.98-3.00
10 Zr 0.0002 0.7500 0.5021  2 Zr 2.79, 4 Al 2.98-3.00
11 Zr 0.5002 0.7500 0.9979  2 Zr 2.79, 4 Al 2.98-3.00
12 Zr 0.9998 0.2500 0.4979  2 Zr 2.79, 4 Al 2.98-3.00

Output
E, eV/atom: -3.9867
ΔH_f (0 K), eV per atom: 0.3947
ΔE to the lowest computed polymorph, meV/atom: 293.8
Symmetry: Pnma

---

VASP calculation (PBE) on Cs3ZrAl after structural relaxation.

Cell: 7.1594 7.1594 7.1594 Å, 90.00 90.00 90.00°
With the nearest neighbours (Å) after each atom.
Fractional positions:
1 Cs 0.0000 0.5000 0.0000  2 Al 3.58
2 Cs 0.0000 0.0000 0.5000  2 Al 3.58
3 Cs 0.5000 0.0000 0.0000  2 Al 3.58
4 Al 0.0000 0.0000 0.0000  6 Cs 3.58
5 Zr 0.5000 0.5000 0.5000  12 Cs 5.06

Output
E, eV/atom: -1.7336
ΔH_f (0 K), eV per atom: 1.2367
ΔE to the lowest computed polymorph, meV/atom: 0.0
Symmetry: Pm-3m

---

VASP calculation (PBE) on CsZrAl after structural relaxation.

Cell: 10.0002 3.3651 12.2175 Å, 90.00 90.00 90.00°
With the nearest neighbours (Å) after each atom.
Fractional positions:
1 Cs 0.0428 0.2500 0.8505  2 Cs 3.37, 2 Al 3.77
2 Cs 0.4572 0.7500 0.3505  2 Cs 3.37, 2 Al 3.77
3 Cs 0.9572 0.7500 0.1495  2 Cs 3.37, 2 Al 3.77
4 Cs 0.5428 0.2500 0.6495  2 Cs 3.37, 2 Al 3.77
5 Al 0.7977 0.2500 0.3926  3 Zr 2.90-3.00
6 Al 0.7023 0.7500 0.8926  3 Zr 2.90-3.00
7 Al 0.2023 0.7500 0.6074  3 Zr 2.90-3.00
8 Al 0.2977 0.2500 0.1074  3 Zr 2.90-3.00
9 Zr 0.0928 0.2500 0.4367  3 Al 2.90-3.00, 2 Zr 2.94
10 Zr 0.4072 0.7500 0.9367  3 Al 2.90-3.00, 2 Zr 2.94
11 Zr 0.9072 0.7500 0.5633  3 Al 2.90-3.00, 2 Zr 2.94
12 Zr 0.5928 0.2500 0.0633  3 Al 2.90-3.00, 2 Zr 2.94

Output
E, eV/atom: -3.8456
ΔH_f (0 K), eV per atom: 0.5358
ΔE to the lowest computed polymorph, meV/atom: 434.9
Symmetry: Pnma